Entry 1:
Below is an optimized crystal structure of Tb2TmHg8, with properties calculated at the PBE-GGA level.

a = 8.3554 Å, b = 8.3554 Å, c = 7.2103 Å
α = 108.39°, β = 108.39°, γ = 34.37°
Atoms (fractional coordinates):
1 Tb 0.2143 0.2143 0.1570
2 Tb 0.7857 0.7857 0.8430
3 Tm 0.5000 0.5000 0.5000
4 Hg 0.0266 0.0266 0.2304
5 Hg 0.1502 0.1502 0.6776
6 Hg 0.3309 0.3309 0.6020
7 Hg 0.4032 0.4032 0.0502
8 Hg 0.5968 0.5968 0.9498
9 Hg 0.6691 0.6691 0.3980
10 Hg 0.8498 0.8498 0.3224
11 Hg 0.9734 0.9734 0.7696

## Properties
Total energy: -1.776 eV per atom
Mass density: 12.95 Mg/m³
Space-group type: C2/m (12)

***

Entry 2:
Below is an optimized crystal structure of LuMgCoPd, with properties calculated at the PBE-GGA level.

a = 4.5835 Å, b = 4.5835 Å, c = 4.5835 Å
α = 60.00°, β = 60.00°, γ = 60.00°
Atoms (fractional coordinates):
1 Lu 0.0000 0.0000 0.0000
2 Mg 0.5000 0.5000 0.5000
3 Co 0.7500 0.7500 0.7500
4 Pd 0.2500 0.2500 0.2500

## Properties
Total energy: -5.028 eV per atom
Mass density: 8.89 Mg/m³
Space-group type: F-43m (216)

***

Entry 3:
Below is an optimized crystal structure of NpInBr4, with properties calculated at the PBE-GGA level.

a = 9.3281 Å, b = 9.3281 Å, c = 7.3070 Å
α = 108.52°, β = 108.52°, γ = 114.33°
Atoms (fractional coordinates):
1 Np 0.0798 0.9202 0.7500
2 Np 0.9202 0.0798 0.2500
3 In 0.3402 0.6598 0.2500
4 In 0.6598 0.3402 0.7500
5 Br 0.0514 0.6327 0.8286
6 Br 0.1744 0.2560 0.7289
7 Br 0.2560 0.1744 0.2289
8 Br 0.3673 0.9486 0.6714
9 Br 0.6327 0.0514 0.3286
10 Br 0.7440 0.8256 0.7711
11 Br 0.8256 0.7440 0.2711
12 Br 0.9486 0.3673 0.1714

## Properties
Raw formation energy: -1.09 eV per atom
Mass density: 4.75 Mg/m³
Space-group type: C2/c (15)

***

Entry 4:
Below is an optimized crystal structure of TlCo2Cl, with properties calculated at the PBE-GGA level.

a = 6.8157 Å, b = 6.8157 Å, c = 6.8157 Å
α = 152.47°, β = 135.50°, γ = 53.13°
Atoms (fractional coordinates):
1 Tl 0.0000 0.0000 0.0000
2 Co 0.3846 0.3846 0.0000
3 Co 0.5078 0.0078 0.5000
4 Cl 0.2440 0.7440 0.5000

## Properties
Raw formation energy: 0.36 eV per atom
Polymorph energy (0 for the lowest one): 120 meV per atom
Mass density: 5.82 Mg/m³
Space-group type: Imm2 (44)

***

Entry 5:
Below is an optimized crystal structure of Ac2LaYSe4, with properties calculated at the PBE-GGA level.

a = 7.4495 Å, b = 4.2625 Å, c = 7.6555 Å
α = 90.00°, β = 108.61°, γ = 90.00°
Atoms (fractional coordinates):
1 Ac 0.0000 0.0000 0.0000
2 Ac 0.5000 0.5000 0.0000
3 La 0.0000 0.5000 0.5000
4 Y 0.5000 0.0000 0.5000
5 Se 0.2529 0.0000 0.7328
6 Se 0.2663 0.5000 0.2731
7 Se 0.7337 0.5000 0.7269
8 Se 0.7471 0.0000 0.2672

## Properties
Raw formation energy: -1.86 eV per atom
Mass density: 7.19 Mg/m³
Space-group type: P2/m (10)

***

Entry 6:
Below is an optimized crystal structure of ZrNiB, with properties calculated at the PBE-GGA level.

a = 5.3954 Å, b = 5.3954 Å, c = 5.3954 Å
α = 143.22°, β = 125.13°, γ = 67.89°
Atoms (fractional coordinates):
1 Zr 0.1935 0.1935 0.0000
2 Zr 0.8065 0.8065 0.0000
3 Ni 0.2659 0.5000 0.7659
4 Ni 0.7341 0.5000 0.2341
5 B 0.4026 0.9026 0.5000
6 B 0.5974 0.0974 0.5000

## Properties
Total energy: -7.534 eV per atom
Mass density: 7.05 Mg/m³
Space-group type: Immm (71)

***

| no. | spin magnetization (μB per cell) |
| --- | --- |
| 1 | 0.0 |
| 2 | 0.0 |
| 3 | 8.0 |
| 4 | 3.8 |
| 5 | 0.0 |
| 6 | 0.0 |